# 1
Here is Ca4Cd3Bi after structural relaxation from Alexandria via LeMat-Bulk. Energies are from PBE-GGA.

Results
Total magnetization, μB/atom: 0.00
Calculated formation energy, meV/atom: -481

Cell: 9.5536 9.5536 9.5536 Å, 33.17 33.17 33.17°
Atoms (fractional coordinates):
Ca: 0.1242 0.1242 0.1242
Ca: 0.3758 0.3758 0.3758
Ca: 0.6242 0.6242 0.6242
Ca: 0.8758 0.8758 0.8758
Cd: 0.0000 0.0000 0.0000
Cd: 0.2582 0.2582 0.2582
Cd: 0.7418 0.7418 0.7418
Bi: 0.5000 0.5000 0.5000

# 2
Here is Rb2TcPO6 after structural relaxation from Alexandria via LeMat-Bulk. Energies are from PBE-GGA.

Results
Total magnetization, μB/atom: 0.00
Uncorrected formation energy, meV/atom: -1431

Cell: 6.5938 6.5938 6.5938 Å, 133.35 133.35 68.10°
Atoms (fractional coordinates):
Rb: 0.2500 0.7500 0.5000
Rb: 0.7500 0.2500 0.5000
Tc: 0.0000 0.0000 0.0000
P: 0.5000 0.5000 0.0000
O: 0.1636 0.1636 0.0000
O: 0.2233 0.6512 0.8745
O: 0.3488 0.2233 0.5721
O: 0.6512 0.7767 0.4279
O: 0.7767 0.3488 0.1255
O: 0.8364 0.8364 0.0000

# 3
Here is Li8AgPb6 after structural relaxation from Alexandria via LeMat-Bulk. Energies are from PBE-GGA.

Results
Total magnetization, μB/atom: 0.00
Calculated formation energy, meV/atom: -170

Cell: 7.3256 7.3256 7.3256 Å, 69.26 69.26 69.26°
Atoms (fractional coordinates):
Li: 0.1317 0.4384 0.6325
Li: 0.2346 0.2346 0.2346
Li: 0.3675 0.8683 0.5616
Li: 0.4384 0.6325 0.1317
Li: 0.5616 0.3675 0.8683
Li: 0.6325 0.1317 0.4384
Li: 0.7654 0.7654 0.7654
Li: 0.8683 0.5616 0.3675
Ag: 0.5000 0.5000 0.5000
Pb: 0.0688 0.8584 0.3467
Pb: 0.1416 0.6533 0.9312
Pb: 0.3467 0.0688 0.8584
Pb: 0.6533 0.9312 0.1416
Pb: 0.8584 0.3467 0.0688
Pb: 0.9312 0.1416 0.6533

# 4
Here is MgAl2W after structural relaxation from Alexandria via LeMat-Bulk. Energies are from PBE-GGA.

Results
Total magnetization, μB/atom: 0.00
Calculated formation energy, meV/atom: 80

Cell: 4.9602 4.9602 2.8256 Å, 90.00 90.00 111.01°
Atoms (fractional coordinates):
Mg: 0.0000 0.0000 0.0000
Al: 0.0000 0.5000 0.5000
Al: 0.5000 0.0000 0.5000
W: 0.5000 0.5000 0.0000

# 5
Here is Tb11Pm9Dy4 after structural relaxation from Alexandria via LeMat-Bulk. Energies are from PBE-GGA.

Results
Total magnetization, μB/atom: 0.00
Calculated formation energy, meV/atom: 53

Cell: 15.3155 15.3155 3.7001 Å, 90.00 90.00 113.46°
Atoms (fractional coordinates):
Tb: 0.0000 0.0000 0.0000
Tb: 0.0443 0.4052 0.0000
Tb: 0.1618 0.8382 0.0000
Tb: 0.2896 0.2896 0.0000
Tb: 0.3680 0.6320 0.0000
Tb: 0.4052 0.0443 0.0000
Tb: 0.5948 0.9557 0.0000
Tb: 0.6320 0.3680 0.0000
Tb: 0.7104 0.7104 0.0000
Tb: 0.8382 0.1618 0.0000
Tb: 0.9557 0.5948 0.0000
Pm: 0.0652 0.2132 0.5000
Pm: 0.1639 0.6298 0.5000
Pm: 0.2132 0.0652 0.5000
Pm: 0.3702 0.8361 0.5000
Pm: 0.5000 0.5000 0.5000
Pm: 0.6298 0.1639 0.5000
Pm: 0.7868 0.9348 0.5000
Pm: 0.8361 0.3702 0.5000
Pm: 0.9348 0.7868 0.5000
Dy: 0.2433 0.4442 0.5000
Dy: 0.4442 0.2433 0.5000
Dy: 0.5558 0.7567 0.5000
Dy: 0.7567 0.5558 0.5000

# 6
Here is TcNiC after structural relaxation from Alexandria via LeMat-Bulk. Energies are from PBE-GGA.

Results
Total magnetization, μB/atom: 0.00
Calculated formation energy, meV/atom: 216

Cell: 8.7499 8.7499 8.7499 Å, 19.29 19.29 19.29°
Atoms (fractional coordinates):
Tc: 0.1242 0.1242 0.1242
Tc: 0.8758 0.8758 0.8758
Ni: 0.3724 0.3724 0.3724
Ni: 0.6276 0.6276 0.6276
C: 0.2568 0.2568 0.2568
C: 0.7432 0.7432 0.7432

# 7
Here is Cd8Ga2Hg after structural relaxation from Alexandria via LeMat-Bulk. Energies are from PBE-GGA.

Results
Total magnetization, μB/atom: 0.00
Energy above the most stable polymorph in this dataset, meV per atom: 34
Calculated formation energy, meV/atom: 68

Cell: 7.6646 7.6646 5.1323 Å, 94.54 94.54 119.04°
Atoms (fractional coordinates):
Cd: 0.0797 0.3111 0.6309
Cd: 0.2392 0.7608 0.0000
Cd: 0.3111 0.0797 0.6309
Cd: 0.3831 0.3831 0.2021
Cd: 0.6169 0.6169 0.7979
Cd: 0.6889 0.9203 0.3691
Cd: 0.7608 0.2392 0.0000
Cd: 0.9203 0.6889 0.3691
Ga: 0.3093 0.6907 0.5000
Ga: 0.6907 0.3093 0.5000
Hg: 0.0000 0.0000 0.0000

# 8
Here is TaCu2Mo after structural relaxation from Alexandria via LeMat-Bulk. Energies are from PBE-GGA.

Results
Total magnetization, μB/atom: 0.00
Energy above the most stable polymorph in this dataset, meV per atom: 63
Calculated formation energy, meV/atom: 171

Cell: 4.7360 4.7360 2.7570 Å, 90.14 90.14 110.20°
Atoms (fractional coordinates):
Ta: 0.0000 0.0000 0.0000
Cu: 0.0000 0.5000 0.5000
Cu: 0.5000 0.0000 0.5000
Mo: 0.5000 0.5000 0.0000

Question: Look up the total magnetization of the first one.
Answer: 0.00 μB/atom

Question: Which value of total magnetization does entry 5 give?
Answer: 0.00 μB/atom

Question: Number 3 is which compound?
Answer: Li8AgPb6